Entry 1:
A plane-wave DFT calculation with PBE was carried out for a relaxed structure of Na2SmOsO6.

Density (g cm⁻³): 5.95
M_tot (μB/f.u.): 0.00
Formation energy (no corrections) (eV per atom): -1.840

CIF file:
```
data_Na2SmOsO6
_chemical_formula_sum 'Na4 Sm2 Os2 O12'
_cell_length_a 5.6849
_cell_length_b 5.8181
_cell_length_c 9.9020
_cell_angle_alpha 90.00
_cell_angle_beta 124.67
_cell_angle_gamma 90.00
_symmetry_space_group_name_H-M 'P 1 21/c 1'
_symmetry_Int_Tables_number 14
loop_
_symmetry_equiv_pos_as_xyz
'x,y,z'
'-x,-y,-z'
'-x,y+1/2,-z+1/2'
'x,-y+1/2,z+1/2'
loop_
_atom_site_label
_atom_site_type_symbol
_atom_site_fract_x
_atom_site_fract_y
_atom_site_fract_z
Na1 Na 0.2427 0.0388 0.2510
Sm1 Sm 0.5000 0.0000 0.0000
Os1 Os 0.0000 0.0000 0.5000
O1 O 0.1224 0.2288 0.9491
O2 O 0.2287 0.6793 0.9563
O3 O 0.3137 0.0296 0.7240
```



Entry 2:
A plane-wave DFT calculation with PBE was carried out for a relaxed structure of Na2SnOsO6.

Density (g cm⁻³): 6.00
M_tot (μB/f.u.): 1.01
Formation energy (no corrections) (eV per atom): -1.315

CIF file:
```
data_Na2SnOsO6
_chemical_formula_sum 'Na2 Sn1 Os1 O6'
_cell_length_a 5.6583
_cell_length_b 5.6583
_cell_length_c 3.8984
_cell_angle_alpha 90.00
_cell_angle_beta 90.00
_cell_angle_gamma 90.00
_symmetry_space_group_name_H-M 'P 4/m m m'
_symmetry_Int_Tables_number 123
_symmetry_space_group_name_Hall '-P 4 2'
loop_
_atom_site_label
_atom_site_type_symbol
_atom_site_fract_x
_atom_site_fract_y
_atom_site_fract_z
Na1 Na 0.0000 0.5000 0.0000
Sn1 Sn 0.0000 0.0000 0.5000
Os1 Os 0.5000 0.5000 0.5000
O1 O 0.0000 0.0000 0.0000
O2 O 0.2601 0.2601 0.5000
O3 O 0.5000 0.5000 0.0000
```



Entry 3:
A plane-wave DFT calculation with PBE was carried out for a relaxed structure of Na3Sr2OsO6.

Density (g cm⁻³): 5.02
M_tot (μB/f.u.): 3.00
Formation energy (no corrections) (eV per atom): -1.826

CIF file:
```
data_Na3Sr2OsO6
_chemical_formula_sum 'Na6 Sr4 Os2 O12'
_cell_length_a 5.9814
_cell_length_b 10.5228
_cell_length_c 5.8955
_cell_angle_alpha 90.00
_cell_angle_beta 109.05
_cell_angle_gamma 90.00
_symmetry_space_group_name_H-M 'C 1 2/m 1'
_symmetry_Int_Tables_number 12
loop_
_symmetry_equiv_pos_as_xyz
'x,y,z'
'-x,-y,-z'
'-x,y,-z'
'x,-y,z'
'x+1/2,y+1/2,z'
'-x+1/2,-y+1/2,-z'
'-x+1/2,y+1/2,-z'
'x+1/2,-y+1/2,z'
loop_
_atom_site_label
_atom_site_type_symbol
_atom_site_fract_x
_atom_site_fract_y
_atom_site_fract_z
Na1 Na 0.0000 0.0000 0.0000
Na2 Na 0.0000 0.3573 0.0000
Sr1 Sr 0.0000 0.1685 0.5000
Os1 Os 0.0000 0.5000 0.5000
O1 O 0.2054 0.3636 0.7153
O2 O 0.2152 0.5000 0.2958
```



Entry 4:
A plane-wave DFT calculation with PBE was carried out for a relaxed structure of NaSr2OsO6.

Density (g cm⁻³): 5.80
M_tot (μB/f.u.): 1.01
Formation energy (no corrections) (eV per atom): -1.961

CIF file:
```
data_NaSr2OsO6
_chemical_formula_sum 'Na1 Sr2 Os1 O6'
_cell_length_a 5.7267
_cell_length_b 5.7303
_cell_length_c 5.7314
_cell_angle_alpha 61.90
_cell_angle_beta 61.91
_cell_angle_gamma 61.90
_symmetry_space_group_name_H-M 'P -1'
_symmetry_Int_Tables_number 2
loop_
_symmetry_equiv_pos_as_xyz
'x,y,z'
'-x,-y,-z'
loop_
_atom_site_label
_atom_site_type_symbol
_atom_site_fract_x
_atom_site_fract_y
_atom_site_fract_z
Na1 Na 0.0000 0.0000 0.0000
Sr1 Sr 0.2537 0.2539 0.2545
Os1 Os 0.5000 0.5000 0.5000
O1 O 0.1990 0.3491 0.7134
O2 O 0.2845 0.8009 0.6508
O3 O 0.3501 0.7144 0.1986
```



Entry 5:
A plane-wave DFT calculation with PBE was carried out for a relaxed structure of Na2Sr2OsO6.

Density (g cm⁻³): 4.61
M_tot (μB/f.u.): 2.00
Formation energy (no corrections) (eV per atom): -1.836

CIF file:
```
data_Na2Sr2OsO6
_chemical_formula_sum 'Na4 Sr4 Os2 O12'
_cell_length_a 6.1378
_cell_length_b 10.3645
_cell_length_c 5.9201
_cell_angle_alpha 90.00
_cell_angle_beta 104.03
_cell_angle_gamma 90.00
_symmetry_space_group_name_H-M 'C 1 2/m 1'
_symmetry_Int_Tables_number 12
loop_
_symmetry_equiv_pos_as_xyz
'x,y,z'
'-x,-y,-z'
'-x,y,-z'
'x,-y,z'
'x+1/2,y+1/2,z'
'-x+1/2,-y+1/2,-z'
'-x+1/2,y+1/2,-z'
'x+1/2,-y+1/2,z'
loop_
_atom_site_label
_atom_site_type_symbol
_atom_site_fract_x
_atom_site_fract_y
_atom_site_fract_z
Na1 Na 0.0000 0.1341 0.0000
Sr1 Sr 0.0000 0.3380 0.5000
Os1 Os 0.0000 0.0000 0.5000
O1 O 0.1754 0.1366 0.6905
O2 O 0.2164 0.0000 0.2974
```



Entry 6:
A plane-wave DFT calculation with PBE was carried out for a relaxed structure of NaSr3Os2O9.

Density (g cm⁻³): 6.77
M_tot (μB/f.u.): 0.00
Formation energy (no corrections) (eV per atom): -1.902

CIF file:
```
data_NaSr3Os2O9
_chemical_formula_sum 'Na1 Sr3 Os2 O9'
_cell_length_a 5.7175
_cell_length_b 5.7175
_cell_length_c 7.0224
_cell_angle_alpha 90.00
_cell_angle_beta 90.00
_cell_angle_gamma 120.00
_symmetry_space_group_name_H-M 'P -3 m 1'
_symmetry_Int_Tables_number 164
_symmetry_space_group_name_Hall '-P 3 2"'
loop_
_atom_site_label
_atom_site_type_symbol
_atom_site_fract_x
_atom_site_fract_y
_atom_site_fract_z
Na1 Na 0.0000 0.0000 0.0000
Sr1 Sr 0.0000 0.0000 0.5000
Sr2 Sr 0.3333 0.6667 0.1401
Os1 Os 0.3333 0.6667 0.6556
O1 O 0.0000 0.5000 0.5000
O2 O 0.1775 0.3550 0.8137
```



Entry 7:
A plane-wave DFT calculation with PBE was carried out for a relaxed structure of Na2SrOsO5.

Density (g cm⁻³): 5.45
M_tot (μB/f.u.): 0.00
Formation energy (no corrections) (eV per atom): -1.667

CIF file:
```
data_Na2SrOsO5
_chemical_formula_sum 'Na4 Sr2 Os2 O10'
_cell_length_a 3.7762
_cell_length_b 5.6944
_cell_length_c 11.4340
_cell_angle_alpha 90.00
_cell_angle_beta 90.00
_cell_angle_gamma 90.00
_symmetry_space_group_name_H-M 'I m m m'
_symmetry_Int_Tables_number 71
_symmetry_space_group_name_Hall '-I 2 2'
loop_
_atom_site_label
_atom_site_type_symbol
_atom_site_fract_x
_atom_site_fract_y
_atom_site_fract_z
Na1 Na 0.0000 0.0000 0.2220
Sr1 Sr 0.0000 0.5000 0.0000
Os1 Os 0.0000 0.5000 0.5000
O1 O 0.0000 0.0000 0.0000
O2 O 0.0000 0.2556 0.3813
```



Entry 8:
A plane-wave DFT calculation with PBE was carried out for a relaxed structure of Na2SrOsO.

Density (g cm⁻³): 2.66
M_tot (μB/f.u.): 1.94
Formation energy (no corrections) (eV per atom): 1.729

CIF file:
```
data_Na2SrOsO
_chemical_formula_sum 'Na2 Sr1 Os1 O1'
_cell_length_a 6.4689
_cell_length_b 6.4689
_cell_length_c 5.0706
_cell_angle_alpha 90.00
_cell_angle_beta 90.00
_cell_angle_gamma 90.00
_symmetry_space_group_name_H-M 'P 4/m m m'
_symmetry_Int_Tables_number 123
_symmetry_space_group_name_Hall '-P 4 2'
loop_
_atom_site_label
_atom_site_type_symbol
_atom_site_fract_x
_atom_site_fract_y
_atom_site_fract_z
Na1 Na 0.0000 0.5000 0.0000
Sr1 Sr 0.0000 0.0000 0.0000
Os1 Os 0.0000 0.0000 0.5000
O1 O 0.5000 0.5000 0.5000
```